w:
First-principles (PBE) data for a geometry-optimized LaSbBr structure, as listed in the Alexandria database.

```
3
Lattice="5.238 0.000 0.000 -2.619 4.536 0.000 0.000 0.000 3.814" Properties=species:S:1:pos:R:3 pbc="T T T"
La 0.000 0.000 0.000
Sb 2.619 1.512 1.907
Br 0.000 3.024 0.000
```

**Total magnetic moment**: 0.0 μB per formula unit



x:
First-principles (PBE) data for a geometry-optimized LaSbBr structure, as listed in the Alexandria database.

```
3
Lattice="-1.800 1.800 7.720 1.800 -1.800 7.720 1.800 1.800 -7.720" Properties=species:S:1:pos:R:3 pbc="T T T"
La 0.000 0.000 0.000
Sb 0.000 0.000 10.020
Br 0.000 0.000 5.895
```

**Total magnetic moment**: 0.0 μB per formula unit



Which is most stable, and by how much? x, by 39 meV per atom.



w:
First-principles (PBE) data for a geometry-optimized LaSbBr structure, as listed in the Alexandria database.

```
3
Lattice="0.000 3.639 3.639 3.639 0.000 3.639 3.639 3.639 0.000" Properties=species:S:1:pos:R:3 pbc="T T T"
La 0.000 0.000 0.000
Sb 3.639 3.639 3.639
Br 5.458 5.458 5.458
```

**Total magnetic moment**: 0.0 μB per formula unit



x:
First-principles (PBE) data for a geometry-optimized LaSbBr structure, as listed in the Alexandria database.

```
3
Lattice="0.000 3.770 3.770 3.770 0.000 3.770 3.770 3.770 0.000" Properties=species:S:1:pos:R:3 pbc="T T T"
La 0.000 0.000 0.000
Sb 1.885 1.885 1.885
Br 5.655 5.655 5.655
```

**Total magnetic moment**: 0.9 μB per formula unit



y:
First-principles (PBE) data for a geometry-optimized LaSbBr structure, as listed in the Alexandria database.

```
3
Lattice="4.260 0.000 0.000 -2.130 3.690 0.000 0.000 0.000 7.559" Properties=species:S:1:pos:R:3 pbc="T T T"
La 0.000 0.000 0.000
Sb 2.130 1.230 2.122
Br 0.000 2.460 5.722
```

**Total magnetic moment**: 0.0 μB per formula unit



z:
First-principles (PBE) data for a geometry-optimized LaSbBr structure, as listed in the Alexandria database.

```
6
Lattice="4.508 0.000 0.000 0.000 4.508 0.000 0.000 0.000 9.048" Properties=species:S:1:pos:R:3 pbc="T T T"
La 1.127 1.127 2.175
La 3.381 3.381 6.873
Sb 1.127 3.381 4.524
Sb 3.381 1.127 4.524
Br 1.127 1.127 7.948
Br 3.381 3.381 1.100
```

**Total magnetic moment**: 0.0 μB per formula unit



Which is most stable, and by how much? z, by 362 meV per atom.



w:
First-principles (PBE) data for a geometry-optimized LaSb2Br structure, as listed in the Alexandria database.

```
4
Lattice="1.819 1.050 10.249 -1.819 1.050 10.249 0.000 -2.101 10.249" Properties=species:S:1:pos:R:3 pbc="T T T"
La 0.000 0.000 0.000
Sb 0.000 0.000 7.620
Sb 0.000 0.000 23.127
Br 0.000 0.000 15.373
```

**Total magnetic moment**: 0.0 μB per formula unit



x:
First-principles (PBE) data for a geometry-optimized LaSb2Br structure, as listed in the Alexandria database.

```
4
Lattice="6.280 -2.185 0.000 6.280 2.185 0.000 -1.501 0.000 4.127" Properties=species:S:1:pos:R:3 pbc="T T T"
La 0.000 0.000 0.000
Sb 1.993 0.000 3.154
Sb 9.066 0.000 0.974
Br 5.529 0.000 2.064
```

**Total magnetic moment**: 0.0 μB per formula unit



Which is most stable, and by how much? x, by 782 meV per atom.



w:
First-principles (PBE) data for a geometry-optimized La3SbBr structure, as listed in the Alexandria database.

```
5
Lattice="5.575 0.000 0.000 0.000 5.575 0.000 0.000 0.000 5.575" Properties=species:S:1:pos:R:3 pbc="T T T"
La 0.000 0.000 2.787
La 0.000 2.787 0.000
La 2.787 0.000 0.000
Sb 2.787 2.787 2.787
Br 0.000 0.000 0.000
```

**Total magnetic moment**: 0.0 μB per formula unit



x:
First-principles (PBE) data for a geometry-optimized La3SbBr structure, as listed in the Alexandria database.

```
10
Lattice="4.174 0.000 0.000 2.083 8.835 0.000 0.012 3.551 10.416" Properties=species:S:1:pos:R:3 pbc="T T T"
La 1.048 4.671 1.902
La 1.048 3.679 5.758
La 3.139 10.714 9.848
La 3.130 1.672 0.569
La 5.222 8.707 4.658
La 5.222 7.715 8.515
Sb 3.135 9.566 6.883
Sb 3.135 2.820 3.534
Br 1.056 4.710 8.643
Br 5.214 7.676 1.774
```

**Total magnetic moment**: 0.0 μB per formula unit



Which is most stable, and by how much? x, by 230 meV per atom.



w:
First-principles (PBE) data for a geometry-optimized LaSbSeBr2 structure, as listed in the Alexandria database.

```
5
Lattice="5.765 0.000 0.000 0.000 5.765 0.000 0.000 0.000 5.965" Properties=species:S:1:pos:R:3 pbc="T T T"
La 0.000 0.000 0.000
Sb 2.883 2.883 2.983
Se 0.000 0.000 2.983
Br 0.000 2.883 0.000
Br 2.883 0.000 0.000
```

**Total magnetic moment**: 2.0 μB per formula unit



x:
First-principles (PBE) data for a geometry-optimized LaSbSeBr2 structure, as listed in the Alexandria database.

```
5
Lattice="5.525 0.000 0.000 0.000 5.525 0.000 0.000 0.000 5.649" Properties=species:S:1:pos:R:3 pbc="T T T"
La 0.000 0.000 0.000
Sb 2.763 2.763 2.825
Se 2.763 2.763 0.000
Br 0.000 2.763 2.825
Br 2.763 0.000 2.825
```

**Total magnetic moment**: 0.9 μB per formula unit



Which is most stable, and by how much? w, by 396 meV per atom.



w:
First-principles (PBE) data for a geometry-optimized LaSbSe2Br structure, as listed in the Alexandria database.

```
5
Lattice="5.464 0.000 0.000 0.000 5.464 0.000 0.000 0.000 5.377" Properties=species:S:1:pos:R:3 pbc="T T T"
La 0.000 0.000 0.000
Sb 2.732 2.732 2.688
Se 0.000 2.732 2.688
Se 2.732 0.000 2.688
Br 2.732 2.732 0.000
```

**Total magnetic moment**: 0.5 μB per formula unit



x:
First-principles (PBE) data for a geometry-optimized LaSbSe2Br structure, as listed in the Alexandria database.

```
5
Lattice="5.825 0.000 0.000 0.000 5.825 0.000 0.000 0.000 5.639" Properties=species:S:1:pos:R:3 pbc="T T T"
La 0.000 0.000 0.000
Sb 2.913 2.913 2.820
Se 0.000 2.913 0.000
Se 2.913 0.000 0.000
Br 0.000 0.000 2.820
```

**Total magnetic moment**: 1.0 μB per formula unit



Which is most stable, and by how much? w, by 42 meV per atom.



w:
First-principles (PBE) data for a geometry-optimized LaSb2TeBr structure, as listed in the Alexandria database.

```
5
Lattice="5.452 0.000 0.000 0.000 5.452 0.000 0.000 0.000 5.676" Properties=species:S:1:pos:R:3 pbc="T T T"
La 0.000 0.000 0.000
Sb 0.000 2.726 2.838
Sb 2.726 0.000 2.838
Te 2.726 2.726 0.000
Br 2.726 2.726 2.838
```

**Total magnetic moment**: 0.0 μB per formula unit



x:
First-principles (PBE) data for a geometry-optimized LaSb2TeBr structure, as listed in the Alexandria database.

```
5
Lattice="6.204 0.000 0.000 0.000 6.204 0.000 0.000 0.000 5.995" Properties=species:S:1:pos:R:3 pbc="T T T"
La 0.000 0.000 0.000
Sb 0.000 3.102 0.000
Sb 3.102 0.000 0.000
Te 0.000 0.000 2.997
Br 3.102 3.102 2.997
```

**Total magnetic moment**: 0.0 μB per formula unit



Which is most stable, and by how much? w, by 189 meV per atom.



w:
First-principles (PBE) data for a geometry-optimized La2ScBr structure, as listed in the Alexandria database.

```
4
Lattice="3.605 0.000 0.000 0.000 3.605 0.000 0.000 0.000 9.434" Properties=species:S:1:pos:R:3 pbc="T T T"
La 0.000 0.000 2.288
La 0.000 0.000 7.146
Sc 1.802 1.802 4.717
Br 1.802 1.802 0.000
```

**Total magnetic moment**: 0.0 μB per formula unit



x:
First-principles (PBE) data for a geometry-optimized La2ScBr structure, as listed in the Alexandria database.

```
4
Lattice="-1.773 2.903 5.981 1.773 -2.903 5.981 1.773 2.903 -5.981" Properties=species:S:1:pos:R:3 pbc="T T T"
La 0.000 0.000 2.630
La 0.000 0.000 9.333
Sc 0.000 2.903 0.000
Br 1.773 0.000 0.000
```

**Total magnetic moment**: 0.0 μB per formula unit



y:
First-principles (PBE) data for a geometry-optimized La2ScBr structure, as listed in the Alexandria database.

```
4
Lattice="1.854 -3.060 0.000 1.854 3.060 0.000 0.000 0.000 10.719" Properties=species:S:1:pos:R:3 pbc="T T T"
La 0.000 0.000 0.000
La 1.854 0.000 3.211
Sc 1.854 0.000 8.003
Br 0.000 0.000 5.867
```

**Total magnetic moment**: 0.0 μB per formula unit



z:
First-principles (PBE) data for a geometry-optimized La2ScBr structure, as listed in the Alexandria database.

```
4
Lattice="-2.507 2.507 4.844 2.507 -2.507 4.844 2.507 2.507 -4.844" Properties=species:S:1:pos:R:3 pbc="T T T"
La 2.507 0.000 2.422
La 0.000 2.507 2.422
Sc 0.000 0.000 0.000
Br 0.000 0.000 4.844
```

**Total magnetic moment**: 0.0 μB per formula unit



Which is most stable, and by how much? w, by 78 meV per atom.



w:
First-principles (PBE) data for a geometry-optimized La2ScBr structure, as listed in the Alexandria database.

```
4
Lattice="3.578 0.000 0.000 0.000 5.552 0.000 0.000 0.000 6.022" Properties=species:S:1:pos:R:3 pbc="T T T"
La 0.000 0.000 0.000
La 1.789 0.000 3.011
Sc 0.000 2.776 3.011
Br 1.789 2.776 0.000
```

**Total magnetic moment**: 0.0 μB per formula unit



x:
First-principles (PBE) data for a geometry-optimized La2ScBr structure, as listed in the Alexandria database.

```
4
Lattice="3.563 0.000 0.000 0.000 3.563 0.000 0.000 0.000 9.399" Properties=species:S:1:pos:R:3 pbc="T T T"
La 0.000 0.000 0.000
La 1.781 1.781 2.679
Sc 0.000 0.000 4.983
Br 1.781 1.781 6.912
```

**Total magnetic moment**: 0.0 μB per formula unit



Which is most stable, and by how much? x, by 163 meV per atom.



w:
First-principles (PBE) data for a geometry-optimized LaScBr3 structure, as listed in the Alexandria database.

```
5
Lattice="5.250 0.000 0.000 0.000 5.250 0.000 0.000 0.000 5.250" Properties=species:S:1:pos:R:3 pbc="T T T"
La 0.000 0.000 0.000
Sc 2.625 2.625 2.625
Br 0.000 2.625 2.625
Br 2.625 0.000 2.625
Br 2.625 2.625 0.000
```

**Total magnetic moment**: 1.5 μB per formula unit



x:
First-principles (PBE) data for a geometry-optimized LaScBr3 structure, as listed in the Alexandria database.

```
5
Lattice="5.876 0.000 0.000 0.000 5.876 0.000 0.000 0.000 5.876" Properties=species:S:1:pos:R:3 pbc="T T T"
La 0.000 0.000 0.000
Sc 2.938 2.938 2.938
Br 0.000 0.000 2.938
Br 0.000 2.938 0.000
Br 2.938 0.000 0.000
```

**Total magnetic moment**: 2.6 μB per formula unit



Which is most stable, and by how much? w, by 189 meV per atom.



w:
First-principles (PBE) data for a geometry-optimized LaSc2Br structure, as listed in the Alexandria database.

```
4
Lattice="1.792 -2.964 0.000 1.792 2.964 0.000 0.000 0.000 10.042" Properties=species:S:1:pos:R:3 pbc="T T T"
La 0.000 0.000 0.000
Sc 1.792 0.000 2.794
Sc 1.792 0.000 7.248
Br 0.000 0.000 5.021
```

**Total magnetic moment**: 0.0 μB per formula unit



x:
First-principles (PBE) data for a geometry-optimized LaSc2Br structure, as listed in the Alexandria database.

```
4
Lattice="3.588 0.000 0.000 0.000 5.116 0.000 -1.774 0.000 5.819" Properties=species:S:1:pos:R:3 pbc="T T T"
La 0.000 0.000 0.000
Sc 0.018 0.000 2.981
Sc 1.807 2.558 2.346
Br 0.022 2.558 5.243
```

**Total magnetic moment**: 0.0 μB per formula unit



Which is most stable, and by how much? x, by 28 meV per atom.



w:
First-principles (PBE) data for a geometry-optimized LaSc2Br structure, as listed in the Alexandria database.

```
8
Lattice="-4.296 4.296 3.036 4.296 -4.296 3.036 4.296 4.296 -3.036" Properties=species:S:1:pos:R:3 pbc="T T T"
La 0.000 0.000 0.000
La 0.000 4.296 1.518
Sc 2.148 -1.474 2.277
Sc 2.822 2.148 0.759
Sc 2.148 5.771 -0.759
Sc 1.474 2.148 3.795
Br 4.296 0.000 1.518
Br 0.000 0.000 3.036
```

**Total magnetic moment**: 0.0 μB per formula unit



x:
First-principles (PBE) data for a geometry-optimized LaSc2Br structure, as listed in the Alexandria database.

```
4
Lattice="4.317 0.000 0.000 0.000 4.317 0.000 0.000 0.000 6.168" Properties=species:S:1:pos:R:3 pbc="T T T"
La 0.000 0.000 0.000
Sc 0.000 2.159 3.084
Sc 2.159 0.000 3.084
Br 2.159 2.159 0.000
```

**Total magnetic moment**: 2.1 μB per formula unit



y:
First-principles (PBE) data for a geometry-optimized LaSc2Br structure, as listed in the Alexandria database.

```
4
Lattice="6.123 -1.705 0.000 6.123 1.705 0.000 -2.567 0.000 5.094" Properties=species:S:1:pos:R:3 pbc="T T T"
La 0.000 0.000 0.000
Sc 0.913 0.000 3.710
Sc 8.766 0.000 1.384
Br 4.839 0.000 2.547
```

**Total magnetic moment**: 0.0 μB per formula unit



z:
First-principles (PBE) data for a geometry-optimized LaSc2Br structure, as listed in the Alexandria database.

```
4
Lattice="0.000 3.792 3.792 3.792 0.000 3.792 3.792 3.792 0.000" Properties=species:S:1:pos:R:3 pbc="T T T"
La 0.000 0.000 0.000
Sc 1.896 1.896 1.896
Sc 3.792 3.792 3.792
Br 5.688 5.688 5.688
```

**Total magnetic moment**: 0.6 μB per formula unit



Which is most stable, and by how much? y, by 110 meV per atom.